Entry 1:
Entry from Alexandria: a crystal of Sr2MgTa relaxed with PBEsol (meta-GGA SCAN).

a b c (Å): 3.369 3.369 11.738
angles (deg): 81.75 81.75 60.00
Fractional positions:
Mg1 0.000 0.000 0.000
Sr1 0.244 0.244 0.269
Sr2 0.756 0.756 0.731
Ta1 0.500 0.500 0.500

## Properties
Formation energy = 0.83 eV per atom
Symmetry = R-3m (166)
Magnetic moment = 0.00 Bohr magnetons per cell

Entry 2:
Entry from Alexandria: a crystal of NaSrCo2O relaxed with PBEsol (meta-GGA SCAN).

a b c (Å): 4.388 4.642 4.642
angles (deg): 90.00 90.00 90.00
Site moments in Bohr magnetons follow the coordinates.
Fractional positions:
Sr1 0.500 0.500 0.500  -0.02
Co1 0.000 0.000 0.500  2.02
Co2 0.000 0.500 0.000  2.02
O1 0.500 0.000 0.000  0.20
Na1 0.000 0.000 0.000  0.01

## Properties
Formation energy (no corrections) = 0.52 eV per atom
Symmetry = P4/mmm (123)
Magnetic moment = 4.41 Bohr magnetons per cell

Entry 3:
Entry from Alexandria: a crystal of La2TiCdBi relaxed with PBEsol (meta-GGA SCAN).

a b c (Å): 5.114 6.072 6.072
angles (deg): 90.00 90.00 90.00
Site moments in Bohr magnetons follow the coordinates.
Fractional positions:
Cd1 0.500 0.500 0.500  -0.02
Ti1 0.500 0.000 0.000  1.63
Bi1 0.000 0.000 0.000  -0.01
La1 0.000 0.000 0.500  0.10
La2 0.000 0.500 0.000  0.10

## Properties
Formation energy = 0.24 eV per atom
Symmetry = P4/mmm (123)
Magnetic moment = 2.73 Bohr magnetons per cell

Number 1: Fermi-level density of states 3.80 states/eV/f.u.. Number 2: Fermi-level density of states 1.27 states/eV/f.u.. Number 3: Fermi-level density of states 5.69 states/eV/f.u..